LiSbHPd2: optimized geometry, GGA-PBE.

```
data_LiSbHPd2
_chemical_formula_sum 'Li1 Sb1 H1 Pd2'
_symmetry_space_group_name_H-M 'P 4/m m m'
_symmetry_Int_Tables_number 123
_symmetry_space_group_name_Hall '-P 4 2'
_cell_length_a 4.1273
_cell_length_b 4.1273
_cell_length_c 3.9566
_cell_angle_alpha 90.00
_cell_angle_beta 90.00
_cell_angle_gamma 90.00
loop_
_atom_site_label
_atom_site_type_symbol
_atom_site_fract_x
_atom_site_fract_y
_atom_site_fract_z
Li1 Li 0.0000 0.0000 0.0000
Sb1 Sb 0.5000 0.5000 0.0000
H1 H 0.0000 0.0000 0.5000
Pd1 Pd 0.0000 0.5000 0.5000
```

## Properties
The total moment comes out at 0.00 Bohr magnetons per cell. For the density of states at the Fermi level, the calculation gives 2.55 states/eV per cell. The value obtained for the polymorph energy (0 for the lowest one) is 0 meV per atom. The calculation puts the total energy at -4.38 eV per atom.